The following is a DFT calculation (GGA-PBEsol) of an optimized crystal structure of KMn2Be.

a = 2.962 Å, b = 2.962 Å, c = 7.246 Å
α = 90.00°, β = 90.00°, γ = 90.00°
Fractional positions:
1 Mn 0.000 0.000 0.869
2 Mn 0.000 0.000 0.131
3 K 0.500 0.500 0.500
4 Be 0.500 0.500 0.000

## Properties
SG: P4/mmm (123)
Calculated total energy in eV for the cell shown: -21.19
Energy relative to the elements in meV per atom: 866